Below is an optimized crystal structure of Rb2CuBrF6, with properties calculated at the PBE-GGA level.

Computed properties:
Raw formation energy in meV per atom: -1866
Electronic total energy in eV/atom: -3.76
M_tot in μB per formula unit: 0.00
Fermi-level density of states in states/eV/atom: 0.0000

Lattice parameters (Å, degrees): 6.3965 6.3965 6.3965 118.02 118.02 93.46
Last column: nearest neighbours and their distance in Å.
Fractional coordinates of all 10 atoms:
Rb (0.2500, 0.7500, 0.5000)  12 F 3.24-3.30
Rb (0.7500, 0.2500, 0.5000)  12 F 3.24-3.30
Cu (0.0000, 0.0000, 0.0000)  4 F 1.82
Br (0.5000, 0.5000, 0.0000)  2 F 1.98
F (0.1955, 0.1955, 0.3909)  1 Cu 1.82
F (0.1955, 0.8045, 0.0000)  1 Cu 1.82
F (0.2747, 0.2747, 0.0000)  1 Br 1.98
F (0.7253, 0.7253, 0.0000)  1 Br 1.98
F (0.8045, 0.1955, 0.0000)  1 Cu 1.82
F (0.8045, 0.8045, 0.6091)  1 Cu 1.82

***

Below is an optimized crystal structure of CuSbBrF2, with properties calculated at the PBE-GGA level.

Computed properties:
Raw formation energy in meV per atom: -863
Electronic total energy in eV/atom: -3.59
M_tot in μB per formula unit: 0.00
Fermi-level density of states in states/eV/atom: 0.2402

Lattice parameters (Å, degrees): 4.3027 4.3027 6.3939 90.00 90.00 90.00
Last column: nearest neighbours and their distance in Å.
Fractional coordinates of all 5 atoms:
Cu (0.0000, 0.0000, 0.0000)  4 Br 3.04
Sb (0.5000, 0.5000, 0.5000)  4 F 2.15
Br (0.5000, 0.5000, 0.0000)  4 Cu 3.04, 2 Sb 3.20
F (0.0000, 0.5000, 0.5000)  2 Sb 2.15
F (0.5000, 0.0000, 0.5000)  2 Sb 2.15